First-principles (GGA-PBE) data for a relaxed structure of TbSb2Pd9, as listed in Alexandria via LeMat-Bulk.

The space group is P4/mmm (No. 123) and the conventional cell measures 4.0873, 4.0873 and 12.1925 Å, with angles of 90.00, 90.00 and 90.00 degrees. Symmetry generates all atoms from Tb at (0.0000, 0.0000, 0.0000), Sb at (0.0000, 0.0000, 0.3332), Pd at (0.0000, 0.5000, 0.1732), Pd at (0.0000, 0.5000, 0.5000), Pd at (0.5000, 0.5000, 0.0000) and Pd at (0.5000, 0.5000, 0.3389).

Its density is 11089 kg/m³. The value obtained for the uncorrected formation energy is -12.517 kcal/mol of atoms.